1.
# SiTe2Br

A relaxed SiTe2Br crystal (GGA-PBE, Alexandria).

Unit cell a=8.198 b=8.198 c=8.198 alpha=28.05 beta=28.05 gamma=28.05
Positions (direct):
1 Br 0.250 0.250 0.250
2 Si 0.750 0.750 0.750
3 Te 0.017 0.017 0.017
4 Te 0.483 0.483 0.483

Energy (eV/atom): -3.2748
Symmetry: No. 166
Offset from the most stable computed form (eV/atom): 0.0857
ΔE_f (raw) (eV per atom): 0.07


2.
# SiTe3Br

A relaxed SiTe3Br crystal (GGA-PBE, Alexandria).

Unit cell a=5.300 b=5.300 c=5.300 alpha=90.00 beta=90.00 gamma=90.00
Positions (direct):
1 Si 0.000 0.000 0.000
2 Te 0.000 0.500 0.000
3 Te 0.000 0.000 0.500
4 Te 0.500 0.000 0.000
5 Br 0.500 0.500 0.500

Energy (eV/atom): -2.8721
Symmetry: No. 221
Offset from the most stable computed form (eV/atom): 0.4369
ΔE_f (raw) (eV per atom): 0.43


3.
# SiTe2Br

A relaxed SiTe2Br crystal (GGA-PBE, Alexandria).

Unit cell a=5.634 b=5.634 c=3.220 alpha=90.00 beta=90.00 gamma=90.00
Positions (direct):
1 Br 0.500 0.000 0.500
2 Si 0.000 0.500 0.500
3 Te 0.000 0.000 0.000
4 Te 0.500 0.500 0.000

Energy (eV/atom): -2.7857
Symmetry: No. 123
Offset from the most stable computed form (eV/atom): 0.5748
ΔE_f (raw) (eV per atom): 0.56


Repeat the third record exactly.
# SiTe2Br

A relaxed SiTe2Br crystal (GGA-PBE, Alexandria).

Unit cell a=5.634 b=5.634 c=3.220 alpha=90.00 beta=90.00 gamma=90.00
Positions (direct):
1 Br 0.500 0.000 0.500
2 Si 0.000 0.500 0.500
3 Te 0.000 0.000 0.000
4 Te 0.500 0.500 0.000

Energy (eV/atom): -2.7857
Symmetry: No. 123
Offset from the most stable computed form (eV/atom): 0.5748
ΔE_f (raw) (eV per atom): 0.56


The lowest ΔE_f (raw) belongs to which entry? number 1


Please write out number 1 again, unchanged.
# SiTe2Br

A relaxed SiTe2Br crystal (GGA-PBE, Alexandria).

Unit cell a=8.198 b=8.198 c=8.198 alpha=28.05 beta=28.05 gamma=28.05
Positions (direct):
1 Br 0.250 0.250 0.250
2 Si 0.750 0.750 0.750
3 Te 0.017 0.017 0.017
4 Te 0.483 0.483 0.483

Energy (eV/atom): -3.2748
Symmetry: No. 166
Offset from the most stable computed form (eV/atom): 0.0857
ΔE_f (raw) (eV per atom): 0.07


Among the records above, which one has the lowest offset from the most stable computed form? number 1